## i
The following is a GGA-PBE calculation of LiAgI3 after structural relaxation, from Alexandria.

Results
* space-group type: Pm-3m, No. 221
* N(E_F): 2.0 states/eV/f.u.
* density: 4.311 g cm⁻³

Structure (POSCAR):
```
LiAgI3
1.0
5.758 0.000 0.000
0.000 5.758 0.000
0.000 0.000 5.758
I Ag Li
3 1 1
Cartesian
0.000 2.879 0.000
0.000 0.000 2.879
2.879 0.000 0.000
0.000 0.000 0.000
2.879 2.879 2.879
```

---

## ii
The following is a GGA-PBE calculation of LiAgI3 after structural relaxation, from Alexandria.

Results
* space-group type: Pm-3m, No. 221
* N(E_F): 7.3 states/eV/f.u.
* density: 4.851 g cm⁻³

Structure (POSCAR):
```
LiAgI3
1.0
5.535 0.000 0.000
0.000 5.535 0.000
0.000 0.000 5.535
I Ag Li
3 1 1
Cartesian
0.000 2.768 0.000
0.000 0.000 2.768
2.768 0.000 0.000
2.768 2.768 2.768
0.000 0.000 0.000
```

---

The structure with the least stability is ii.

---

## i
The following is a GGA-PBE calculation of LiAg2I4 after structural relaxation, from Alexandria.

Results
* space-group type: P-42m, No. 111
* N(E_F): 8.8 states/eV/f.u.
* density: 4.713 g cm⁻³

Structure (POSCAR):
```
LiAg2I4
1.0
-5.244 2.485 2.451
-0.244 -4.674 4.216
3.583 3.515 4.104
Li Ag I
1 2 4
Cartesian
0.000 0.000 0.000
-0.831 3.000 3.277
1.670 -0.580 4.160
-1.210 3.326 6.049
-0.577 0.259 2.684
1.208 -0.134 6.902
-3.231 -0.800 5.907
```

---

## ii
The following is a GGA-PBE calculation of LiAg2I4 after structural relaxation, from Alexandria.

Results
* space-group type: I4/mmm, No. 139
* N(E_F): 4.4 states/eV/f.u.
* density: 4.865 g cm⁻³

Structure (POSCAR):
```
LiAg2I4
1.0
-5.500 -0.966 -0.566
1.062 -3.608 -4.165
-1.721 -8.193 2.878
I Ag Li
4 2 1
Cartesian
-1.961 -5.348 0.352
-4.198 -7.419 -2.205
0.531 -1.804 -2.083
-2.750 -0.483 -0.283
-2.130 -3.336 -1.434
-4.028 -9.431 -0.419
0.000 0.000 0.000
```

---

The structure with the least stability is ii.